Here is a geometry-optimized HoTc4C2 structure from Alexandria via LeMat-Bulk. Energies are from PBE-GGA.

Output
ΔE_f = 0.38 eV per formula unit

Cell and atoms, written as CIF:
```
data_HoTc4C2
_chemical_formula_sum 'Ho2 Tc8 C4'
_cell_length_a 3.9482
_cell_length_b 13.4004
_cell_length_c 3.9139
_cell_angle_alpha 90.00
_cell_angle_beta 90.00
_cell_angle_gamma 90.00
_symmetry_space_group_name_H-M 'C m m m'
_symmetry_Int_Tables_number 65
_symmetry_space_group_name_Hall '-C 2 2'
loop_
_atom_site_label
_atom_site_fract_x
_atom_site_fract_y
_atom_site_fract_z
_atom_site_occupancy
Ho1 0.0000 0.0000 0.0000 1
Tc1 0.0000 0.1764 0.5000 1
Tc2 0.0000 0.3172 0.0000 1
C1 0.0000 0.3705 0.5000 1
```

=====

Here is a geometry-optimized ZrTe2PtCl structure from Alexandria via LeMat-Bulk. Energies are from PBE-GGA.

Output
Uncorrected formation energy = 343 kJ/mol of formula units

Cell and atoms, written as CIF:
```
data_ZrTe2PtCl
_chemical_formula_sum 'Zr1 Te2 Pt1 Cl1'
_cell_length_a 5.3548
_cell_length_b 5.3548
_cell_length_c 4.5180
_cell_angle_alpha 90.00
_cell_angle_beta 90.00
_cell_angle_gamma 90.00
_symmetry_space_group_name_H-M 'P 4/m m m'
_symmetry_Int_Tables_number 123
_symmetry_space_group_name_Hall '-P 4 2'
loop_
_atom_site_label
_atom_site_fract_x
_atom_site_fract_y
_atom_site_fract_z
_atom_site_occupancy
Zr1 0.0000 0.0000 0.0000 1
Te1 0.0000 0.5000 0.5000 1
Pt1 0.5000 0.5000 0.0000 1
Cl1 0.5000 0.5000 0.5000 1
```

=====

Here is a geometry-optimized Ho6HgRu2 structure from Alexandria via LeMat-Bulk. Energies are from PBE-GGA.

Output
Energy above the lowest structure with this stoichiometry = 0.1117 eV per atom
ΔE_f = -2.38 eV per formula unit

Cell and atoms, written as CIF:
```
data_Ho6HgRu2
_chemical_formula_sum 'Ho12 Hg2 Ru4'
_cell_length_a 9.9718
_cell_length_b 5.0163
_cell_length_c 9.2502
_cell_angle_alpha 90.00
_cell_angle_beta 100.50
_cell_angle_gamma 90.00
_symmetry_space_group_name_H-M 'C 1 2/m 1'
_symmetry_Int_Tables_number 12
loop_
_symmetry_equiv_pos_as_xyz
'x,y,z'
'-x,-y,-z'
'-x,y,-z'
'x,-y,z'
'x+1/2,y+1/2,z'
'-x+1/2,-y+1/2,-z'
'-x+1/2,y+1/2,-z'
'x+1/2,-y+1/2,z'
loop_
_atom_site_label
_atom_site_fract_x
_atom_site_fract_y
_atom_site_fract_z
_atom_site_occupancy
Ho1 0.0365 0.0000 0.3374 1
Ho2 0.1596 0.5000 0.8865 1
Ho3 0.2196 0.5000 0.3443 1
Hg1 0.0000 0.0000 0.0000 1
Ru1 0.1112 0.5000 0.5994 1
```

=====

Here is a geometry-optimized Zr2SbAsH structure from Alexandria via LeMat-Bulk. Energies are from PBE-GGA.

Output
Final energy = -24.903 eV/f.u.

Cell and atoms, written as CIF:
```
data_Zr2SbAsH
_chemical_formula_sum 'Zr2 Sb1 As1 H1'
_cell_length_a 5.0723
_cell_length_b 5.0723
_cell_length_c 5.2785
_cell_angle_alpha 90.00
_cell_angle_beta 90.00
_cell_angle_gamma 90.00
_symmetry_space_group_name_H-M 'P 4/m m m'
_symmetry_Int_Tables_number 123
_symmetry_space_group_name_Hall '-P 4 2'
loop_
_atom_site_label
_atom_site_fract_x
_atom_site_fract_y
_atom_site_fract_z
_atom_site_occupancy
Zr1 0.0000 0.5000 0.0000 1
Sb1 0.0000 0.0000 0.5000 1
As1 0.0000 0.0000 0.0000 1
H1 0.5000 0.5000 0.5000 1
```

=====

Here is a geometry-optimized TaMnRu2 structure from Alexandria via LeMat-Bulk. Energies are from PBE-GGA.

Output
Energy above the lowest structure with this stoichiometry = 0.0000 eV per atom
ΔE_f = -1.04 eV per formula unit

Cell and atoms, written as CIF:
```
data_TaMnRu2
_chemical_formula_sum 'Ta1 Mn1 Ru2'
_cell_length_a 4.3128
_cell_length_b 4.3128
_cell_length_c 3.1947
_cell_angle_alpha 90.00
_cell_angle_beta 90.00
_cell_angle_gamma 90.00
_symmetry_space_group_name_H-M 'P 4/m m m'
_symmetry_Int_Tables_number 123
_symmetry_space_group_name_Hall '-P 4 2'
loop_
_atom_site_label
_atom_site_fract_x
_atom_site_fract_y
_atom_site_fract_z
_atom_site_occupancy
Ta1 0.0000 0.0000 0.0000 1
Mn1 0.5000 0.5000 0.0000 1
Ru1 0.0000 0.5000 0.5000 1
```

=====

Here is a geometry-optimized Y4Er10Tm structure from Alexandria via LeMat-Bulk. Energies are from PBE-GGA.

Output
ΔE_f = 11.30 eV per formula unit

Cell and atoms, written as CIF:
```
data_Y4Er10Tm
_chemical_formula_sum 'Y8 Er20 Tm2'
_cell_length_a 12.0866
_cell_length_b 12.0866
_cell_length_c 7.6351
_cell_angle_alpha 90.00
_cell_angle_beta 90.00
_cell_angle_gamma 90.00
_symmetry_space_group_name_H-M 'I 4/m'
_symmetry_Int_Tables_number 87
_symmetry_space_group_name_Hall '-I 4'
loop_
_atom_site_label
_atom_site_fract_x
_atom_site_fract_y
_atom_site_fract_z
_atom_site_occupancy
Y1 0.1007 0.7008 0.0000 1
Er1 0.0000 0.5000 0.2500 1
Er2 0.0987 0.1989 0.2518 1
Tm1 0.0000 0.0000 0.5000 1
```

=====

Here is a geometry-optimized Sm12Cd6Ni structure from Alexandria via LeMat-Bulk. Energies are from PBE-GGA.

Output
ΔE_f = -1.75 eV per formula unit

Cell and atoms, written as CIF:
```
data_Sm12Cd6Ni
_chemical_formula_sum 'Sm36 Cd18 Ni3'
_cell_length_a 12.3227
_cell_length_b 12.3227
_cell_length_c 13.2934
_cell_angle_alpha 90.00
_cell_angle_beta 90.00
_cell_angle_gamma 120.00
_symmetry_space_group_name_H-M 'R -3'
_symmetry_Int_Tables_number 148
_symmetry_space_group_name_Hall '-R 3'
loop_
_atom_site_label
_atom_site_fract_x
_atom_site_fract_y
_atom_site_fract_z
_atom_site_occupancy
Sm1 0.0357 0.8499 0.3712 1
Sm2 0.0394 0.1886 0.8900 1
Cd1 0.0011 0.3999 0.7590 1
Ni1 0.0000 0.0000 0.5000 1
```

=====

Here is a geometry-optimized CrAsI2N structure from Alexandria via LeMat-Bulk. Energies are from PBE-GGA.

Output
Energy above the lowest structure with this stoichiometry = 0.0000 eV per atom
Uncorrected formation energy = 263 kJ/mol of formula units

Cell and atoms, written as CIF:
```
data_CrAsI2N
_chemical_formula_sum 'Cr1 As1 I2 N1'
_cell_length_a 5.4565
_cell_length_b 5.4565
_cell_length_c 3.5859
_cell_angle_alpha 90.00
_cell_angle_beta 90.00
_cell_angle_gamma 90.00
_symmetry_space_group_name_H-M 'P 4/m m m'
_symmetry_Int_Tables_number 123
_symmetry_space_group_name_Hall '-P 4 2'
loop_
_atom_site_label
_atom_site_fract_x
_atom_site_fract_y
_atom_site_fract_z
_atom_site_occupancy
Cr1 0.0000 0.0000 0.0000 1
As1 0.5000 0.5000 0.5000 1
I1 0.0000 0.5000 0.0000 1
N1 0.0000 0.0000 0.5000 1
```

=====

Here is a geometry-optimized Cs2Na2Tl structure from Alexandria via LeMat-Bulk. Energies are from PBE-GGA.

Output
Energy above the lowest structure with this stoichiometry = 0.0426 eV per atom
ΔE_f = 0.21 eV per formula unit

Cell and atoms, written as CIF:
```
data_Cs2Na2Tl
_chemical_formula_sum 'Cs4 Na4 Tl2'
_cell_length_a 8.9056
_cell_length_b 8.9056
_cell_length_c 6.7451
_cell_angle_alpha 90.00
_cell_angle_beta 90.00
_cell_angle_gamma 90.00
_symmetry_space_group_name_H-M 'P 4/m b m'
_symmetry_Int_Tables_number 127
_symmetry_space_group_name_Hall '-P 4 2ab'
loop_
_atom_site_label
_atom_site_fract_x
_atom_site_fract_y
_atom_site_fract_z
_atom_site_occupancy
Cs1 0.1827 0.3173 0.0000 1
Na1 0.1496 0.6496 0.5000 1
Tl1 0.0000 0.0000 0.5000 1
```

=====

Here is a geometry-optimized LaH3Pt structure from Alexandria via LeMat-Bulk. Energies are from PBE-GGA.

Output
Final energy = -23.394 eV/f.u.

Cell and atoms, written as CIF:
```
data_LaH3Pt
_chemical_formula_sum 'La4 H12 Pt4'
_cell_length_a 12.5928
_cell_length_b 3.8247
_cell_length_c 5.3097
_cell_angle_alpha 90.00
_cell_angle_beta 108.83
_cell_angle_gamma 90.00
_symmetry_space_group_name_H-M 'C 1 2/m 1'
_symmetry_Int_Tables_number 12
loop_
_symmetry_equiv_pos_as_xyz
'x,y,z'
'-x,-y,-z'
'-x,y,-z'
'x,-y,z'
'x+1/2,y+1/2,z'
'-x+1/2,-y+1/2,-z'
'-x+1/2,y+1/2,-z'
'x+1/2,-y+1/2,z'
loop_
_atom_site_label
_atom_site_fract_x
_atom_site_fract_y
_atom_site_fract_z
_atom_site_occupancy
La1 0.1098 0.0000 0.3110 1
H1 0.0235 0.5000 0.7945 1
H2 0.1741 0.0000 0.8902 1
H3 0.1936 0.5000 0.5509 1
Pt1 0.1625 0.5000 0.8853 1
```

=====

Here is a geometry-optimized Li5Cd3Sn4 structure from Alexandria via LeMat-Bulk. Energies are from PBE-GGA.

Output
ΔE_f = -2.05 eV per formula unit

Cell and atoms, written as CIF:
```
data_Li5Cd3Sn4
_chemical_formula_sum 'Li5 Cd3 Sn4'
_cell_length_a 5.2333
_cell_length_b 6.9286
_cell_length_c 7.9291
_cell_angle_alpha 82.19
_cell_angle_beta 84.37
_cell_angle_gamma 69.24
_symmetry_space_group_name_H-M 'P -1'
_symmetry_Int_Tables_number 2
loop_
_symmetry_equiv_pos_as_xyz
'x,y,z'
'-x,-y,-z'
loop_
_atom_site_label
_atom_site_fract_x
_atom_site_fract_y
_atom_site_fract_z
_atom_site_occupancy
Li1 0.0000 0.0000 0.0000 1
Li2 0.2733 0.4493 0.9298 1
Li3 0.3130 0.3954 0.5681 1
Cd1 0.2712 0.9801 0.6384 1
Cd2 0.5000 0.0000 0.0000 1
Sn1 0.1381 0.2300 0.2759 1
Sn2 0.1919 0.6514 0.2482 1
```

=====

Here is a geometry-optimized LaMgCr structure from Alexandria via LeMat-Bulk. Energies are from PBE-GGA.

Output
Energy above the lowest structure with this stoichiometry = 0.6346 eV per atom
ΔE_f = 2.90 eV per formula unit

Cell and atoms, written as CIF:
```
data_LaMgCr
_chemical_formula_sum 'La4 Mg4 Cr4'
_cell_length_a 7.2696
_cell_length_b 7.2696
_cell_length_c 7.2696
_cell_angle_alpha 90.00
_cell_angle_beta 90.00
_cell_angle_gamma 90.00
_symmetry_space_group_name_H-M 'F -4 3 m'
_symmetry_Int_Tables_number 216
_symmetry_space_group_name_Hall 'F -4 2 3'
loop_
_atom_site_label
_atom_site_fract_x
_atom_site_fract_y
_atom_site_fract_z
_atom_site_occupancy
La1 0.0000 0.0000 0.0000 1
Mg1 0.2500 0.2500 0.2500 1
Cr1 0.2500 0.2500 0.7500 1
```